Here is crystalline AlPt2Br at its relaxed geometry from Alexandria via LeMat-Bulk. Energies are from PBE.

## Properties
DOS at the Fermi energy   0.02 states/eV per atom
Uncorrected formation energy   0.84 eV/f.u.
Magnetization   0.00 Bohr magnetons per cell
E above lowest polymorph   15.01 kcal/mol of atoms

Cell: 4.6138 4.6138 4.6138 Å, 60.00 60.00 60.00°
Fractional positions:
Al: 0.0000 0.0000 0.0000
Pt: 0.5000 0.5000 0.5000
Pt: 0.7500 0.7500 0.7500
Br: 0.2500 0.2500 0.2500

---

Here is crystalline MnAgCl2 at its relaxed geometry from Alexandria via LeMat-Bulk. Energies are from PBE.

## Properties
DOS at the Fermi energy   0.07 states/eV per atom
Uncorrected formation energy   -1.70 eV/f.u.
Magnetization   4.00 Bohr magnetons per cell
E above lowest polymorph   1.20 kcal/mol of atoms

Cell: 3.9257 3.4601 7.2963 Å, 90.00 105.49 90.00°
Fractional positions:
Mn: 0.0000 0.0000 0.0000
Ag: 0.4174 0.5000 0.8324
Cl: 0.1168 0.5000 0.2338
Cl: 0.8367 0.0000 0.6688

---

Here is crystalline LaInBi2H at its relaxed geometry from Alexandria via LeMat-Bulk. Energies are from PBE.

## Properties
Raw total energy   -4.03 eV per atom
DOS at the Fermi energy   0.45 states/eV per atom
Magnetization   0.00 Bohr magnetons per cell

Cell: 5.2110 5.2110 4.6048 Å, 90.00 90.00 90.00°
Fractional positions:
La: 0.0000 0.0000 0.0000
In: 0.5000 0.5000 0.0000
Bi: 0.0000 0.5000 0.5000
Bi: 0.5000 0.0000 0.5000
H: 0.0000 0.0000 0.5000